The following is a DFT calculation (PBE) of a relaxed structure of KCa2HgIr.

As for the volume: 166.2 Å³/cell. As for the density of states at the Fermi level: 1.4 states/eV/f.u. Its crystal system is tetragonal. The value obtained for the energy of formation is -0.1571 eV per atom.

The space group is P4/mmm (No. 123) and the conventional cell measures 5.4989, 5.4989 and 5.4976 Å, with angles of 90.00, 90.00 and 90.00 degrees. The asymmetric unit holds K at (0.0000, 0.0000, 0.0000), Ca at (0.0000, 0.5000, 0.5000), Hg at (0.5000, 0.5000, 0.0000) and Ir at (0.5000, 0.5000, 0.5000).

---

The following is a DFT calculation (PBE) of a relaxed structure of CaLa2HgIr.

As for the volume: 172.9 Å³/cell. As for the density of states at the Fermi level: 4.6 states/eV/f.u. Its crystal system is tetragonal. The calculation puts the energy relative to the lowest polymorph listed for this composition at 0 meV/atom. The value obtained for the energy of formation is -0.4189 eV per atom.

The space group is P4/mmm (No. 123) and the conventional cell measures 5.5299, 5.5299 and 5.6548 Å, with angles of 90.00, 90.00 and 90.00 degrees. The asymmetric unit holds Ca at (0.0000, 0.0000, 0.0000), La at (0.0000, 0.5000, 0.5000), Hg at (0.5000, 0.5000, 0.0000) and Ir at (0.0000, 0.0000, 0.5000).

---

The following is a DFT calculation (PBE) of a relaxed structure of CaLa2HgIr.

As for the volume: 176.3 Å³/cell. As for the density of states at the Fermi level: 9.7 states/eV/f.u. Its crystal system is tetragonal. The calculation puts the energy relative to the lowest polymorph listed for this composition at 866 meV/atom. The value obtained for the energy of formation is 0.4470 eV per atom.

The space group is P4/mmm (No. 123) and the conventional cell measures 5.8677, 5.8677 and 5.1209 Å, with angles of 90.00, 90.00 and 90.00 degrees. The asymmetric unit holds Ca at (0.0000, 0.0000, 0.0000), La at (0.0000, 0.5000, 0.5000), Hg at (0.5000, 0.5000, 0.5000) and Ir at (0.5000, 0.5000, 0.0000).

---

The following is a DFT calculation (PBE) of a relaxed structure of CaLa2HgIr.

As for the volume: 167.4 Å³/cell. As for the density of states at the Fermi level: 3.5 states/eV/f.u. Its crystal system is tetragonal. The calculation puts the energy relative to the lowest polymorph listed for this composition at 115 meV/atom. The value obtained for the energy of formation is -0.3039 eV per atom.

The space group is P4/mmm (No. 123) and the conventional cell measures 5.5340, 5.5340 and 5.4648 Å, with angles of 90.00, 90.00 and 90.00 degrees. The asymmetric unit holds Ca at (0.0000, 0.0000, 0.0000), La at (0.0000, 0.5000, 0.5000), Hg at (0.5000, 0.5000, 0.0000) and Ir at (0.5000, 0.5000, 0.5000).

---

The following is a DFT calculation (PBE) of a relaxed structure of Ca2HgIrN.

As for the volume: 100.5 Å³/cell. As for the density of states at the Fermi level: 0.7 states/eV/f.u. Its crystal system is tetragonal. Its uncorrected formation energy is -3.23 eV/f.u.

The space group is P4/mmm (No. 123) and the conventional cell measures 5.1282, 5.1282 and 3.8216 Å, with angles of 90.00, 90.00 and 90.00 degrees. The asymmetric unit holds Ca at (0.0000, 0.5000, 0.0000), Hg at (0.0000, 0.0000, 0.5000), Ir at (0.5000, 0.5000, 0.5000) and N at (0.5000, 0.5000, 0.0000).

---

The following is a DFT calculation (PBE) of a relaxed structure of Ca2HgIrPb.

As for the volume: 159.3 Å³/cell. As for the density of states at the Fermi level: 2.5 states/eV/f.u. Its crystal system is tetragonal. The value obtained for the energy of formation is -0.2761 eV per atom.

The space group is P4/mmm (No. 123) and the conventional cell measures 5.5561, 5.5561 and 5.1609 Å, with angles of 90.00, 90.00 and 90.00 degrees. The asymmetric unit holds Ca at (0.0000, 0.5000, 0.0000), Hg at (0.0000, 0.0000, 0.5000), Ir at (0.5000, 0.5000, 0.0000) and Pb at (0.5000, 0.5000, 0.5000).

---

Number 1: M_tot 0.00 Bohr magnetons per cell, VASP energy -15.0 eV for the cell shown. Number 2: M_tot 0.00 Bohr magnetons per cell, VASP energy -23.1 eV for the cell shown. Number 3: M_tot 0.00 Bohr magnetons per cell, VASP energy -18.8 eV for the cell shown. Number 4: M_tot 0.00 Bohr magnetons per cell, VASP energy -22.5 eV for the cell shown. Number 5: M_tot 0.00 Bohr magnetons per cell, VASP energy -24.7 eV for the cell shown. Number 6: M_tot 0.00 Bohr magnetons per cell, VASP energy -18.3 eV for the cell shown.